Pr2As3Pt4Rh | PBE | optimized geometry

Properties
Total energy, eV per atom: -6.249
Symmetry: P-4m2
ΔE_f, eV/atom: -0.747
Size of the total moment, μB/f.u.: 0.0

Unit cell a=4.3506 b=4.3506 c=10.4043 alpha=90.00 beta=90.00 gamma=90.00
Positions (direct):
Pr (0.0000, 0.5000, 0.2489)
Pr (0.5000, 0.0000, 0.7511)
As (0.0000, 0.0000, 0.0000)
As (0.0000, 0.5000, 0.6300)
As (0.5000, 0.0000, 0.3700)
Pt (0.0000, 0.0000, 0.5000)
Pt (0.0000, 0.5000, 0.8622)
Pt (0.5000, 0.0000, 0.1378)
Pt (0.5000, 0.5000, 0.5000)
Rh (0.5000, 0.5000, 0.0000)